VASP calculation (PBE+U) on a relaxed structure of Tl2CoO.

Output
- Energy above the most stable polymorph in this dataset: 0.0000 eV per atom
- E_tot: -3.580 eV/atom

Unit cell a=5.931 b=5.931 c=5.931 alpha=108.05 beta=108.05 gamma=112.34
Positions (direct):
Tl1 0.080 0.625 0.955
Tl2 0.375 0.330 0.455
Tl3 0.670 0.125 0.045
Tl4 0.875 0.920 0.545
Co1 0.250 0.750 0.500
Co2 0.500 0.500 0.000
O1 0.000 0.000 0.000
O2 0.750 0.250 0.500